Entry 1:
## LiCeH2 (PBE)

Data for a relaxed structure of LiCeH2.

Cell lengths 3.0340, 3.0340, 6.4265 Å; angles 90.00, 90.00, 90.00 degrees
Fractional coordinates of all 4 atoms:
H 0.0000 0.0000 0.8263
H 0.0000 0.0000 0.1737
Ce 0.5000 0.5000 0.0000
Li 0.5000 0.5000 0.5000

Computed properties:
As for the density of states at the Fermi level: 5.40 states/eV per cell. The spin magnetization is 0.2883 μB/atom. The value obtained for the final energy is -14.553 eV for the cell shown. The value obtained for the volume is 59.16 Å³/f.u. The excess energy over the best structure of this formula in the dataset is 1.19 eV per formula unit.

=====

Entry 2:
## LiTmGaTc (PBE)

Data for a relaxed structure of LiTmGaTc.

Cell lengths 4.5932, 4.5932, 4.5932 Å; angles 60.00, 60.00, 60.00 degrees
Fractional coordinates of all 4 atoms:
Tm 0.7500 0.7500 0.7500
Tc 0.0000 0.0000 0.0000
Ga 0.2500 0.2500 0.2500
Li 0.5000 0.5000 0.5000

Computed properties:
The value obtained for the formation energy is -83 meV/atom. As for the density of states at the Fermi level: 2.13 states/eV per cell. The spin magnetization is 0.0000 μB/atom. The value obtained for the final energy is -20.112 eV for the cell shown. The value obtained for the volume is 68.52 Å³/f.u.

=====

Entry 3:
## Hf3Mo (PBE)

Data for a relaxed structure of Hf3Mo.

Cell lengths 4.9025, 2.9731, 5.6127 Å; angles 90.00, 90.00, 90.00 degrees
Fractional coordinates of all 4 atoms:
Mo 0.0000 0.0000 0.9610
Hf 0.0000 0.5000 0.4917
Hf 0.5000 0.5000 0.1861
Hf 0.5000 0.0000 0.6945

Computed properties:
The value obtained for the formation energy is 181 meV/atom. As for the density of states at the Fermi level: 3.83 states/eV per cell. The spin magnetization is 0.0000 μB/atom. The value obtained for the final energy is -39.967 eV for the cell shown. The value obtained for the volume is 81.81 Å³/f.u. The excess energy over the best structure of this formula in the dataset is 0.85 eV per formula unit.

=====

Entry 4:
## CsCd4Ag (PBE)

Data for a relaxed structure of CsCd4Ag.

Cell lengths 5.6065, 7.6149, 9.9700 Å; angles 112.45, 101.37, 90.00 degrees
Fractional coordinates of all 12 atoms:
Cs 0.8483 0.7797 0.5594
Cs 0.1517 0.2203 0.4406
Cd 0.2695 0.6098 0.2196
Cd 0.4505 0.0946 0.8230
Cd 0.0000 0.1946 0.0000
Cd 0.5495 0.2716 0.1770
Cd 0.7305 0.3902 0.7804
Cd 0.5495 0.9054 0.1770
Cd 0.0000 0.8054 0.0000
Cd 0.4505 0.7284 0.8230
Ag 0.2407 0.4410 0.8820
Ag 0.7593 0.5590 0.1180

Computed properties:
The value obtained for the formation energy is -15 meV/atom. As for the density of states at the Fermi level: 4.10 states/eV per cell. The spin magnetization is 0.0000 μB/atom. The value obtained for the final energy is -14.914 eV for the cell shown. The value obtained for the volume is 192.16 Å³/f.u. The excess energy over the best structure of this formula in the dataset is 0.08 eV per formula unit.

=====

Entry 5:
## DySc2Si4 (PBE)

Data for a relaxed structure of DySc2Si4.

Cell lengths 3.7808, 4.0237, 8.9128 Å; angles 103.05, 102.25, 90.00 degrees
Fractional coordinates of all 7 atoms:
Dy 0.5000 0.0000 0.0000
Sc 0.8165 0.8165 0.6330
Sc 0.1835 0.1835 0.3670
Si 0.6554 0.6554 0.3108
Si 0.3446 0.3446 0.6892
Si 0.0688 0.5688 0.1377
Si 0.9312 0.4312 0.8623

Computed properties:
The uncorrected formation energy is -0.7378 eV/atom. As for the density of states at the Fermi level: 2.88 states/eV per cell. The spin magnetization is 0.0000 μB/atom. The value obtained for the final energy is -44.122 eV for the cell shown. The value obtained for the volume is 128.92 Å³/f.u.

=====

Entry 6:
## SrErAlS4 (PBE)

Data for a relaxed structure of SrErAlS4.

Cell lengths 6.5020, 6.6713, 8.0247 Å; angles 90.00, 107.01, 90.00 degrees
Fractional coordinates of all 14 atoms:
Sr 0.7508 0.7500 0.9398
Sr 0.2492 0.2500 0.0602
Er 0.7819 0.7500 0.4479
Er 0.2181 0.2500 0.5521
Al 0.2437 0.7500 0.3231
Al 0.7563 0.2500 0.6769
S 0.9985 0.5023 0.7258
S 0.0015 0.0023 0.2742
S 0.0015 0.4977 0.2742
S 0.9985 0.9977 0.7258
S 0.4444 0.7500 0.1424
S 0.5556 0.2500 0.8576
S 0.4549 0.7500 0.5942
S 0.5451 0.2500 0.4058

Computed properties:
The uncorrected formation energy is -1.7294 eV/atom. As for the density of states at the Fermi level: 0.00 states/eV per cell. The spin magnetization is 0.0000 μB/atom. The value obtained for the final energy is -77.206 eV for the cell shown. The value obtained for the volume is 166.43 Å³/f.u.

=====

Entry 7:
## LiSmLuCd (PBE)

Data for a relaxed structure of LiSmLuCd.

Cell lengths 5.2640, 5.2640, 5.2640 Å; angles 60.00, 60.00, 60.00 degrees
Fractional coordinates of all 4 atoms:
Lu 0.5000 0.5000 0.5000
Li 0.2500 0.2500 0.2500
Sm 0.0000 0.0000 0.0000
Cd 0.7500 0.7500 0.7500

Computed properties:
The value obtained for the formation energy is -108 meV/atom. As for the density of states at the Fermi level: 5.16 states/eV per cell. The spin magnetization is 0.0000 μB/atom. The value obtained for the final energy is -12.500 eV for the cell shown. The value obtained for the volume is 103.14 Å³/f.u.

=====

Entry 8:
## KLiCr2 (PBE)

Data for a relaxed structure of KLiCr2.

Cell lengths 6.0913, 6.0913, 3.1463 Å; angles 90.00, 90.00, 117.40 degrees
Fractional coordinates of all 4 atoms:
Cr 0.0000 0.0000 0.0000
Cr 0.5000 0.5000 0.0000
K 0.5000 0.0000 0.5000
Li 0.0000 0.5000 0.5000

Computed properties:
The value obtained for the formation energy is 1148 meV/atom. As for the density of states at the Fermi level: 1.92 states/eV per cell. The spin magnetization is 2.4191 μB/atom. The value obtained for the final energy is -17.667 eV for the cell shown. The value obtained for the volume is 103.64 Å³/f.u. The excess energy over the best structure of this formula in the dataset is 2.13 eV per formula unit.

=====

Entry 9:
## MnAu2 (PBE)

Data for a relaxed structure of MnAu2.

Cell lengths 4.5621, 4.5621, 2.8401 Å; angles 90.00, 90.00, 120.00 degrees
Fractional coordinates of all 3 atoms:
Au 0.6667 0.3333 0.3065
Au 0.3333 0.6667 0.6935
Mn 0.0000 0.0000 0.0000

Computed properties:
The value obtained for the formation energy is 30 meV/atom. As for the density of states at the Fermi level: 1.25 states/eV per cell. The spin magnetization is 1.3751 μB/atom. The value obtained for the final energy is -15.635 eV for the cell shown. The value obtained for the volume is 51.19 Å³/f.u. The excess energy over the best structure of this formula in the dataset is 0.39 eV per formula unit.

=====

Entry 10:
## Na2LaTl3 (PBE)

Data for a relaxed structure of Na2LaTl3.

Cell lengths 3.8066, 5.5551, 8.8457 Å; angles 108.30, 90.00, 90.00 degrees
Fractional coordinates of all 6 atoms:
Na 0.0000 0.3306 0.6611
Na 0.0000 0.6694 0.3389
La 0.0000 0.0000 0.0000
Tl 0.5000 0.5000 0.0000
Tl 0.5000 0.8299 0.6598
Tl 0.5000 0.1701 0.3402

Computed properties:
The value obtained for the formation energy is -208 meV/atom. As for the density of states at the Fermi level: 3.72 states/eV per cell. The spin magnetization is 0.0000 μB/atom. The value obtained for the final energy is -15.911 eV for the cell shown. The value obtained for the volume is 177.59 Å³/f.u. The excess energy over the best structure of this formula in the dataset is 0.00 eV per formula unit.

=====

Entry 11:
## Dy2NbCo2 (PBE)

Data for a relaxed structure of Dy2NbCo2.

Cell lengths 3.8841, 5.6480, 5.6482 Å; angles 58.17, 69.83, 69.83 degrees
Fractional coordinates of all 5 atoms:
Dy 0.2966 0.2033 0.7033
Dy 0.7034 0.7967 0.2967
Nb 0.5000 0.5000 0.0000
Co 0.0000 0.2200 0.2800
Co 0.0000 0.7800 0.7200

Computed properties:
The value obtained for the formation energy is -186 meV/atom. As for the density of states at the Fermi level: 4.06 states/eV per cell. The spin magnetization is 0.0000 μB/atom. The value obtained for the final energy is -34.414 eV for the cell shown. The value obtained for the volume is 96.73 Å³/f.u.

=====

Entry 12:
## HfZrAl (PBE)

Data for a relaxed structure of HfZrAl.

Cell lengths 4.8677, 4.8671, 5.9350 Å; angles 90.00, 90.00, 120.00 degrees
Fractional coordinates of all 6 atoms:
Hf 0.6667 0.3335 0.2500
Hf 0.3333 0.6665 0.7500
Zr 0.0000 0.0000 0.0000
Zr 0.0000 0.0000 0.5000
Al 0.3334 0.6667 0.2500
Al 0.6666 0.3333 0.7500

Computed properties:
The value obtained for the formation energy is -309 meV/atom. As for the density of states at the Fermi level: 4.78 states/eV per cell. The spin magnetization is 0.0000 μB/atom. The value obtained for the final energy is -46.342 eV for the cell shown. The value obtained for the volume is 60.88 Å³/f.u. The excess energy over the best structure of this formula in the dataset is 0.00 eV per formula unit.